{
  "formula": "AcHfCr2S6",
  "functional": "GGA-PBE",
  "state": "relaxed",
  "lattice": [[-4.990, -4.221, 0.043], [-1.616, -3.094, 5.526], [-5.751, 1.769, 3.177]],
  "species": ["Hf", "S", "S", "S", "S", "S", "Cr", "Ac", "S", "Cr"],
  "fractional_positions": [[0.319, 0.319, 0.044], [0.744, 0.196, 0.738], [0.623, 0.250, 0.225], [0.322, 0.744, 0.737], [0.196, 0.322, 0.737], [0.902, 0.623, 0.226], [0.518, 0.518, 0.446], [0.782, 0.782, 0.654], [0.250, 0.901, 0.225], [0.006, 0.006, 0.983]],
  "e_form_raw_kj_per_mol_fu": -1177,
  "n_ef_per_ev_cell": 3.96,
  "space_group": "R3"
}